Below is a relaxed YRu2I crystal, with properties calculated at the PBE-GGA level.

Lattice parameters (Å, degrees): 6.110 6.110 6.110 104.04 104.04 120.98
Positions (direct):
Y  0.000  0.000  0.000
Y  0.750  0.250  0.500
Ru  0.169  0.625  0.044
Ru  0.375  0.419  0.544
Ru  0.581  0.125  0.956
Ru  0.875  0.831  0.456
I  0.250  0.750  0.500
I  0.500  0.500  0.000

Formation energy from raw total energies, eV/atom: 0.6185
Calculated total energy, eV for the cell shown: -48.18
Calculated volume, Å³/cell: 170.19
Space-group type: No. 122
Crystal system: tetragonal
Energy above the lowest structure with this stoichiometry, meV per atom: 230
N(E_F), states/eV per cell: 12.8